Computed, not measured: an optimized crystal structure of LaFeMoO6 at the PBE with a Hubbard U level of DFT.

Summary:
- SG: Pc (7)
- Calculated total energy: -7.331 eV per atom
- Calculated density: 5.4 g cm⁻³

Geometry as POSCAR:
```
LaFeMoO6
1.0
5.493 0.000 0.000
0.000 5.580 0.000
-5.486 0.000 7.808
La Fe Mo O
2 2 2 12
direct
0.000 0.208 0.000
0.000 0.792 0.500
0.253 0.255 0.749
0.253 0.745 0.249
0.756 0.262 0.250
0.756 0.738 0.750
0.053 0.241 0.492
0.053 0.759 0.992
0.439 0.261 0.003
0.439 0.739 0.503
0.519 0.028 0.274
0.519 0.972 0.774
0.583 0.468 0.784
0.583 0.532 0.284
0.954 0.012 0.718
0.954 0.988 0.218
0.996 0.462 0.209
0.996 0.538 0.709
```